Material: Rb2HgSe
Method: DFT, GGA-PBEsol
State: optimized geometry

- DOS at the Fermi energy: 0.000 states/eV per atom
- DFT total energy: -2.34 eV per atom
- V: 133.6 Å³/f.u.

a = 5.7378 Å, b = 5.7378 Å, c = 5.7378 Å
α = 60.00°, β = 60.00°, γ = 60.00°
With the nearest neighbours (Å) after each atom.
Positions (direct):
Se: 0.5000 0.5000 0.5000  8 Rb 3.51
Hg: 0.0000 0.0000 0.0000  8 Rb 3.51
Rb: 0.2500 0.2500 0.2500  4 Se 3.51, 4 Hg 3.51
Rb: 0.7500 0.7500 0.7500  4 Hg 3.51, 4 Se 3.51